(1)
Computed, not measured: Be3GeRu after structural relaxation at the GGA-PBE level of DFT.

- offset from the most stable computed form (meV per atom) = 0.0
- DOS at the Fermi energy (states/eV per cell) = 1.67
- energy (eV/atom) = -4.3702

Lattice parameters (Å, degrees): 4.2045 4.2045 4.2045 90.00 90.00 90.00
Atoms (fractional coordinates):
Ru 0.0000 0.0000 0.0000
Ge 0.5000 0.5000 0.5000
Be 0.0000 0.5000 0.0000
Be 0.0000 0.0000 0.5000
Be 0.5000 0.0000 0.0000


(2)
Computed, not measured: RbNaLiBi after structural relaxation at the GGA-PBE level of DFT.

- offset from the most stable computed form (meV per atom) = 44.7
- DOS at the Fermi energy (states/eV per cell) = 0.13
- energy (eV/atom) = -2.3589

Lattice parameters (Å, degrees): 5.5591 5.5591 5.5591 60.00 60.00 60.00
Atoms (fractional coordinates):
Na 0.7500 0.7500 0.7500
Bi 0.5000 0.5000 0.5000
Rb 0.0000 0.0000 0.0000
Li 0.2500 0.2500 0.2500


(3)
Computed, not measured: Pm6YHo8 after structural relaxation at the GGA-PBE level of DFT.

- DOS at the Fermi energy (states/eV per cell) = 21.80
- energy (eV/atom) = -4.6491

Lattice parameters (Å, degrees): 9.0885 9.0885 8.6963 58.50 58.50 60.00
Atoms (fractional coordinates):
Pm 0.4620 0.8952 0.8701
Pm 0.1048 0.2274 0.1299
Pm 0.2274 0.5380 0.1299
Pm 0.7726 0.4620 0.8701
Pm 0.8952 0.7726 0.8701
Pm 0.5380 0.1048 0.1299
Y 0.0000 0.0000 0.0000
Ho 0.2533 0.2810 0.5771
Ho 0.7190 0.1114 0.4229
Ho 0.1114 0.7467 0.4229
Ho 0.5767 0.5767 0.2698
Ho 0.4233 0.4233 0.7302
Ho 0.8886 0.2533 0.5771
Ho 0.2810 0.8886 0.5771
Ho 0.7467 0.7190 0.4229


(4)
Computed, not measured: Rb2Al2Au after structural relaxation at the GGA-PBE level of DFT.

- offset from the most stable computed form (meV per atom) = 0.0
- DOS at the Fermi energy (states/eV per cell) = 9.15
- energy (eV/atom) = -2.4536

Lattice parameters (Å, degrees): 6.9146 6.9146 6.2296 90.00 90.00 90.00
Atoms (fractional coordinates):
Au 0.0000 0.0000 0.0000
Au 0.5000 0.5000 0.0000
Al 0.3627 0.8627 0.0000
Al 0.8627 0.6373 0.0000
Al 0.6373 0.1373 0.0000
Al 0.1373 0.3627 0.0000
Rb 0.1865 0.6865 0.5000
Rb 0.6865 0.8135 0.5000
Rb 0.8135 0.3135 0.5000
Rb 0.3135 0.1865 0.5000


Energy of formation in eV/atom, matching the order above: 0.64, -0.34, 0.12, 0.09